Entry 1:
A geometry-optimized TiBe2Br structure, computed with PBE.

Unit cell a=4.4127 b=4.4127 c=4.4127 alpha=60.00 beta=60.00 gamma=60.00
Closest atoms and distances in Å follow each position.
Sites, in units of the cell vectors:
Ti 0.0000 0.0000 0.0000  8 Be 2.70
Be 0.2500 0.2500 0.2500  4 Br 2.70, 4 Ti 2.70
Be 0.7500 0.7500 0.7500  4 Br 2.70, 4 Ti 2.70
Br 0.5000 0.5000 0.5000  8 Be 2.70

ΔE to the lowest computed polymorph = 1.82 eV per formula unit
E_tot = -12.69 eV per cell
calculated density = 4.0 Mg/m³

Entry 2:
A geometry-optimized PrGaNi structure, computed with PBE.

Unit cell a=4.2498 b=4.2587 c=6.9197 alpha=90.00 beta=90.10 gamma=90.00
Closest atoms and distances in Å follow each position.
Sites, in units of the cell vectors:
Pr 0.2496 0.2500 0.1874  4 Ni 3.02-3.04, 4 Ga 3.14
Pr 0.7504 0.7500 0.8126  4 Ni 3.02-3.04, 4 Ga 3.14
Ga 0.2496 0.2500 0.6819  4 Ni 2.47
Ga 0.7504 0.7500 0.3181  4 Ni 2.47
Ni 0.2512 0.7500 0.5010  4 Ga 2.47
Ni 0.7488 0.2500 0.4990  4 Ga 2.47

energy of formation = -51.2 kJ per mole of atoms
E_tot = -30.36 eV per cell
calculated density = 7.1 Mg/m³

Entry 3:
A geometry-optimized Li2AlPt3 structure, computed with PBE.

Unit cell a=6.7042 b=6.7042 c=5.9176 alpha=90.00 beta=90.00 gamma=143.06
Closest atoms and distances in Å follow each position.
Sites, in units of the cell vectors:
Li 0.0000 0.0000 0.0000  8 Pt 2.58-2.59
Li 0.0000 0.0000 0.5000  8 Pt 2.60
Li 0.3326 0.6674 0.0000  8 Pt 2.57-2.59
Li 0.6674 0.3326 0.0000  8 Pt 2.57-2.59
Al 0.3380 0.6620 0.5000  8 Pt 2.55-2.63
Al 0.6620 0.3380 0.5000  8 Pt 2.55-2.63
Pt 0.1675 0.8325 0.2494  5 Li 2.57-2.60, 3 Al 2.59-2.63
Pt 0.1675 0.8325 0.7506  5 Li 2.57-2.60, 3 Al 2.59-2.63
Pt 0.5000 0.5000 0.2462  2 Al 2.55, 6 Li 2.58-2.60
Pt 0.5000 0.5000 0.7538  2 Al 2.55, 6 Li 2.58-2.60
Pt 0.8325 0.1675 0.2494  5 Li 2.57-2.60, 3 Al 2.59-2.63
Pt 0.8325 0.1675 0.7506  5 Li 2.57-2.60, 3 Al 2.59-2.63

energy of formation = -80.0 kJ per mole of atoms
E_tot = -61.34 eV per cell
calculated density = 13.0 Mg/m³

Entry 4:
A geometry-optimized PrDySc2 structure, computed with PBE.

Unit cell a=3.5514 b=3.5514 c=9.1493 alpha=90.00 beta=90.00 gamma=90.00
Closest atoms and distances in Å follow each position.
Sites, in units of the cell vectors:
Pr 0.0000 0.0000 0.0000  8 Sc 3.43, 4 Pr 3.55
Dy 0.0000 0.0000 0.5000  8 Sc 3.36, 4 Dy 3.55
Sc 0.5000 0.5000 0.2554  4 Dy 3.36, 4 Pr 3.43, 4 Sc 3.55
Sc 0.5000 0.5000 0.7446  4 Dy 3.36, 4 Pr 3.43, 4 Sc 3.55

energy of formation = 5.6 kJ per mole of atoms
ΔE to the lowest computed polymorph = 0.00 eV per formula unit
E_tot = -21.81 eV per cell
calculated density = 5.7 Mg/m³

Entry 5:
A geometry-optimized RbZn2GeO structure, computed with PBE.

Unit cell a=4.6198 b=4.6198 c=7.7729 alpha=90.00 beta=90.00 gamma=90.00
Closest atoms and distances in Å follow each position.
Sites, in units of the cell vectors:
Rb 0.0000 0.0000 0.0000  4 O 3.27
Zn 0.0000 0.5000 0.5000  2 Ge 2.31
Zn 0.5000 0.0000 0.5000  2 Ge 2.31
Ge 0.0000 0.0000 0.5000  4 Zn 2.31
O 0.5000 0.5000 0.0000  4 Rb 3.27

E_tot = -11.68 eV per cell
calculated density = 3.1 Mg/m³

Entry 6:
A geometry-optimized CrReAu2 structure, computed with PBE.

Unit cell a=9.3153 b=9.3153 c=9.3153 alpha=17.71 beta=17.71 gamma=17.71
Closest atoms and distances in Å follow each position.
Sites, in units of the cell vectors:
Cr 0.0000 0.0000 0.0000  6 Au 2.79, 6 Cr 2.87
Re 0.5000 0.5000 0.5000  6 Au 2.86, 6 Re 2.87
Au 0.2515 0.2515 0.2515  3 Cr 2.79, 3 Re 2.86, 6 Au 2.87
Au 0.7485 0.7485 0.7485  3 Cr 2.79, 3 Re 2.86, 6 Au 2.87

energy of formation = 50.7 kJ per mole of atoms
ΔE to the lowest computed polymorph = 1.03 eV per formula unit
E_tot = -26.53 eV per cell
calculated density = 16.1 Mg/m³